No. 1
A crystal of NbIn3Hg relaxed with PBEsol. Source: Alexandria, functional meta-GGA SCAN.

Properties
* energy of formation: 1070 meV/atom
* SG: No. 221

Unit cell a=5.2848 b=5.2848 c=5.2848 alpha=90.00 beta=90.00 gamma=90.00
Fractional coordinates of all 5 atoms:
Nb 0.5000 0.5000 0.5000
Hg 0.0000 0.0000 0.0000
In 0.0000 0.5000 0.0000
In 0.0000 0.0000 0.5000
In 0.5000 0.0000 0.0000


No. 2
A crystal of NbIn2NiHg relaxed with PBEsol. Source: Alexandria, functional meta-GGA SCAN.

Properties
* energy of formation: 324 meV/atom
* SG: No. 123

Unit cell a=4.7293 b=4.7293 c=4.7319 alpha=90.00 beta=90.00 gamma=90.00
Fractional coordinates of all 5 atoms:
Ni 0.0000 0.0000 0.0000
Nb 0.0000 0.0000 0.5000
Hg 0.5000 0.5000 0.5000
In 0.0000 0.5000 0.0000
In 0.5000 0.0000 0.0000


No. 3
A crystal of Nd2InHg relaxed with PBEsol. Source: Alexandria, functional meta-GGA SCAN.

Properties
* energy of formation: -670 meV/atom
* SG: No. 225

Unit cell a=5.3686 b=5.3686 c=5.3686 alpha=60.00 beta=60.00 gamma=60.00
Fractional coordinates of all 4 atoms:
Nd 0.7500 0.7500 0.7500
Nd 0.2500 0.2500 0.2500
Hg 0.0000 0.0000 0.0000
In 0.5000 0.5000 0.5000


No. 4
A crystal of InNiHg3 relaxed with PBEsol. Source: Alexandria, functional meta-GGA SCAN.

Properties
* energy of formation: 158 meV/atom
* SG: No. 221

Unit cell a=4.9464 b=4.9464 c=4.9464 alpha=90.00 beta=90.00 gamma=90.00
Fractional coordinates of all 5 atoms:
Ni 0.0000 0.0000 0.0000
Hg 0.0000 0.5000 0.0000
Hg 0.0000 0.0000 0.5000
Hg 0.5000 0.0000 0.0000
In 0.5000 0.5000 0.5000


No. 5
A crystal of InNi2Hg relaxed with PBEsol. Source: Alexandria, functional meta-GGA SCAN.

Properties
* excess energy over the best structure of this formula in the dataset: 5 meV per atom
* energy of formation: 107 meV/atom
* SG: No. 25

Unit cell a=3.1419 b=4.3445 c=4.3459 alpha=90.00 beta=90.00 gamma=90.00
Fractional coordinates of all 4 atoms:
Hg 0.5000 0.0000 0.6256
In 0.5000 0.5000 0.1243
Ni 0.0000 0.0000 0.1261
Ni 0.0000 0.5000 0.6241


No. 6
A crystal of InNi2Hg relaxed with PBEsol. Source: Alexandria, functional meta-GGA SCAN.

Properties
* excess energy over the best structure of this formula in the dataset: 0 meV per atom
* energy of formation: 102 meV/atom
* SG: No. 139

Unit cell a=4.3887 b=4.3717 c=4.3887 alpha=59.87 beta=90.00 gamma=120.13
Fractional coordinates of all 4 atoms:
Hg 0.5000 0.0000 0.5000
In 0.0000 0.0000 0.0000
Ni 0.2500 0.5000 0.2500
Ni 0.7500 0.5000 0.7500


Quick rundown of total energy, same order as above: -196.10 -182.62 -191.40 -253.27 -133.47 -133.49 eV per cell